Entry from the Alexandria database: a geometry-optimized Y2AgHgRh structure (PBE-GGA).

Uncorrected energy (eV per atom): -5.191

Cell lengths 7.6386, 4.0970, 8.1225 Å; angles 90.00, 111.97, 90.00 degrees
Space group P2_1/m (No. 11)
Unique sites:
Y 0.0080 0.2500 0.2098 x2
Y 0.3536 0.7500 0.6177 x2
Ag 0.3498 0.2500 0.9461 x2
Hg 0.3145 0.7500 0.1982 x2
Rh 0.0935 0.2500 0.5991 x2


Entry from the Alexandria database: a geometry-optimized YAgHgRh2 structure (PBE-GGA).

Uncorrected energy (eV per atom): -3.951

Cell lengths 4.9111, 4.9111, 5.3389 Å; angles 90.00, 90.00, 90.00 degrees
Space group P4/mmm (No. 123)
Unique sites:
Y 0.0000 0.0000 0.0000 x1
Ag 0.0000 0.0000 0.5000 x1
Hg 0.5000 0.5000 0.5000 x1
Rh 0.0000 0.5000 0.0000 x2


Entry from the Alexandria database: a geometry-optimized AgHgRu2 structure (PBE-GGA).

Uncorrected energy (eV per atom): -4.736

Cell lengths 2.8254, 4.2740, 5.5949 Å; angles 90.00, 90.00, 90.00 degrees
Space group Pmmm (No. 47)
Unique sites:
Ag 0.0000 0.0000 0.0000 x1
Hg 0.0000 0.0000 0.5000 x1
Ru 0.5000 0.5000 0.2430 x2


Entry from the Alexandria database: a geometry-optimized Ag2HgRu structure (PBE-GGA).

Uncorrected energy (eV per atom): -3.428

Cell lengths 2.9314, 2.9314, 8.3026 Å; angles 90.00, 90.00, 90.00 degrees
Space group P4mm (No. 99)
Unique sites:
Ag 0.0000 0.0000 0.0000 x1
Ag 0.5000 0.5000 0.2496 x1
Hg 0.0000 0.0000 0.5194 x1
Ru 0.5000 0.5000 0.7650 x1


Question: Which formula does entry 1 have?
Answer: Y2AgHgRh


Question: Look up the uncorrected energy of the second one.
Answer: -3.951 eV per atom